Record 1
# Pm2CdAu6

Crystalline Pm2CdAu6 at its relaxed geometry (GGA-PBE, Alexandria via LeMat-Bulk).

a = 7.219 Å, b = 13.195 Å, c = 4.184 Å
α = 90.00°, β = 90.00°, γ = 90.00°
Space group Cmmm (No. 65)
Asymmetric unit:
1 Pm 0.000 0.207 0.000 x4
2 Cd 0.000 0.000 0.500 x2
3 Au 0.196 0.355 0.500 x8
4 Au 0.205 0.500 0.000 x4

Energy relative to the elements (eV/atom): -0.549



Record 2
# Ca2MgSnN

Crystalline Ca2MgSnN at its relaxed geometry (GGA-PBE, Alexandria via LeMat-Bulk).

a = 5.095 Å, b = 5.095 Å, c = 4.146 Å
α = 90.00°, β = 90.00°, γ = 90.00°
Space group P4/mmm (No. 123)
Asymmetric unit:
1 Ca 0.000 0.500 0.000 x2
2 Mg 0.000 0.000 0.500 x1
3 Sn 0.500 0.500 0.500 x1
4 N 0.000 0.000 0.000 x1

Formation energy from raw total energies (eV/f.u.): -3.51



Record 3
# ScMnZnBr2

Crystalline ScMnZnBr2 at its relaxed geometry (GGA-PBE, Alexandria via LeMat-Bulk).

a = 5.230 Å, b = 5.230 Å, c = 4.954 Å
α = 90.00°, β = 90.00°, γ = 90.00°
Space group P4/mmm (No. 123)
Asymmetric unit:
1 Sc 0.000 0.000 0.000 x1
2 Mn 0.500 0.500 0.000 x1
3 Zn 0.500 0.500 0.500 x1
4 Br 0.000 0.500 0.500 x2

Formation energy from raw total energies (eV/f.u.): 1.98



Record 4
# NaCd2HgO4

Crystalline NaCd2HgO4 at its relaxed geometry (GGA-PBE, Alexandria via LeMat-Bulk).

a = 4.853 Å, b = 4.853 Å, c = 9.309 Å
α = 90.00°, β = 90.00°, γ = 90.00°
Space group I4/mmm (No. 139)
Asymmetric unit:
1 Na 0.000 0.000 0.000 x2
2 Cd 0.000 0.500 0.250 x4
3 Hg 0.000 0.000 0.500 x2
4 O 0.000 0.000 0.266 x4
5 O 0.000 0.500 0.000 x4

Formation energy from raw total energies (eV/f.u.): -6.51



Record 5
# DyGeRu

Crystalline DyGeRu at its relaxed geometry (GGA-PBE, Alexandria via LeMat-Bulk).

a = 4.3683 Å, b = 4.3683 Å, c = 3.5220 Å
α = 90.00°, β = 90.00°, γ = 120.00°
Space group P-6m2 (No. 187)
Asymmetric unit:
1 Dy 0.0000 0.0000 0.0000 x1
2 Ge 0.3333 0.6667 0.5000 x1
3 Ru 0.6667 0.3333 0.5000 x1

Energy relative to the elements (eV/atom): -0.563



Record 6
# Tb4SnPbO

Crystalline Tb4SnPbO at its relaxed geometry (GGA-PBE, Alexandria via LeMat-Bulk).

a = 6.478 Å, b = 17.146 Å, c = 6.479 Å
α = 90.00°, β = 90.00°, γ = 90.00°
Space group Cmcm (No. 63)
Asymmetric unit:
1 Tb 0.000 0.070 0.250 x4
2 Tb 0.000 0.419 0.250 x4
3 Tb 0.250 0.250 0.000 x8
4 Sn 0.000 0.113 0.750 x4
5 Pb 0.000 0.392 0.750 x4
6 O 0.000 0.274 0.250 x4

Formation energy from raw total energies (eV/f.u.): -8.67



Record 7
# LaTbPdRu

Crystalline LaTbPdRu at its relaxed geometry (GGA-PBE, Alexandria via LeMat-Bulk).

a = 7.087 Å, b = 7.087 Å, c = 7.087 Å
α = 90.00°, β = 90.00°, γ = 90.00°
Space group F-43m (No. 216)
Asymmetric unit:
1 La 0.000 0.000 0.000 x4
2 Tb 0.000 0.000 0.500 x4
3 Pd 0.250 0.250 0.750 x4
4 Ru 0.250 0.250 0.250 x4

Energy relative to the elements (eV/atom): -0.506



Record 8
# B3PtN3

Crystalline B3PtN3 at its relaxed geometry (GGA-PBE, Alexandria via LeMat-Bulk).

a = 4.706 Å, b = 4.706 Å, c = 4.706 Å
α = 90.00°, β = 90.00°, γ = 90.00°
Space group Pm-3n (No. 223)
Asymmetric unit:
1 B 0.000 0.250 0.500 x6
2 Pt 0.000 0.000 0.000 x2
3 N 0.000 0.500 0.250 x6

Formation energy from raw total energies (eV/f.u.): 2.07



Record 9
# TaTcGe2Au

Crystalline TaTcGe2Au at its relaxed geometry (GGA-PBE, Alexandria via LeMat-Bulk).

a = 4.658 Å, b = 4.658 Å, c = 5.244 Å
α = 90.00°, β = 90.00°, γ = 90.00°
Space group P4/mmm (No. 123)
Asymmetric unit:
1 Ta 0.000 0.000 0.000 x1
2 Tc 0.500 0.500 0.000 x1
3 Ge 0.000 0.500 0.500 x2
4 Au 0.000 0.000 0.500 x1

Energy relative to the elements (eV/atom): 1.731



Record 10
# Nd3Sm2Dy4

Crystalline Nd3Sm2Dy4 at its relaxed geometry (GGA-PBE, Alexandria via LeMat-Bulk).

a = 17.280 Å, b = 5.662 Å, c = 6.691 Å
α = 90.00°, β = 112.55°, γ = 90.00°
Space group C2/m (No. 12)
Asymmetric unit:
1 Nd 0.000 0.000 0.000 x2
2 Nd 0.136 0.000 0.580 x4
3 Sm 0.136 0.500 0.300 x4
4 Dy 0.073 0.500 0.758 x4
5 Dy 0.220 0.000 0.143 x4

Energy relative to the elements (eV/atom): 0.095



Record 11
# Tb6As3SeS2

Crystalline Tb6As3SeS2 at its relaxed geometry (GGA-PBE, Alexandria via LeMat-Bulk).

a = 17.725 Å, b = 4.074 Å, c = 8.118 Å
α = 90.00°, β = 103.07°, γ = 90.00°
Space group C2/m (No. 12)
Asymmetric unit:
1 Tb 0.001 0.000 0.258 x4
2 Tb 0.168 0.500 0.582 x4
3 Tb 0.170 0.500 0.086 x4
4 As 0.000 0.500 0.500 x2
5 As 0.165 0.000 0.833 x4
6 Se 0.000 0.500 0.000 x2
7 S 0.167 0.000 0.334 x4

Formation energy from raw total energies (eV/f.u.): -21.27



Record 12
# Sr3Ag4Hg2

Crystalline Sr3Ag4Hg2 at its relaxed geometry (GGA-PBE, Alexandria via LeMat-Bulk).

a = 11.714 Å, b = 4.940 Å, c = 9.381 Å
α = 90.00°, β = 110.99°, γ = 90.00°
Space group C2/m (No. 12)
Asymmetric unit:
1 Sr 0.000 0.000 0.000 x2
2 Sr 0.160 0.500 0.673 x4
3 Ag 0.066 0.000 0.400 x4
4 Ag 0.225 0.500 0.054 x4
5 Hg 0.123 0.500 0.289 x4

Energy relative to the elements (eV/atom): -0.355



no.,M_tot (μB/atom),calculated volume (Å³/atom)
1,0.000,22.1
2,0.000,21.5
3,0.526,27.1
4,0.078,13.7
5,0.000,19.4
6,0.000,25.7
7,0.000,22.2
8,0.000,7.4
9,0.000,22.8
10,0.000,33.6
11,0.000,23.8
12,0.000,28.2